NdYTmIn | PBE | relaxed

Computed properties:
- Theoretical density: 7369 kg/m³
- Energy of formation from the pure elements: -264 meV/atom
- Total DFT energy (no corrections): -4.87 eV per atom

Lattice parameters (Å, degrees): 4.846 4.885 4.921 90.00 90.00 90.00
Space group Pmmm (No. 47)
Asymmetric unit:
Nd (0.000, 0.000, 0.000)
Y (0.500, 0.000, 0.500)
Tm (0.500, 0.500, 0.000)
In (0.000, 0.500, 0.500)


LaPaOs4 | PBE | relaxed

Computed properties:
- Theoretical density: 16736 kg/m³
- Energy of formation from the pure elements: -158 meV/atom
- Total DFT energy (no corrections): -10.05 eV per atom

Lattice parameters (Å, degrees): 7.656 7.656 7.656 90.00 90.00 90.00
Space group F-43m (No. 216)
Asymmetric unit:
La (0.000, 0.000, 0.000)
Pa (0.250, 0.250, 0.750)
Os (0.125, 0.125, 0.375)


BaFe2Co | PBE | relaxed

Computed properties:
- Theoretical density: 6021 kg/m³
- Energy of formation from the pure elements: 932 meV/atom
- Total DFT energy (no corrections): -5.56 eV per atom

Lattice parameters (Å, degrees): 4.767 4.767 14.948 90.00 90.00 90.00
Space group I4_1/amd (No. 141, origin choice 2)
Asymmetric unit:
Ba (0.000, 0.250, 0.375)
Fe (0.000, 0.000, 0.000)
Co (0.000, 0.250, 0.875)


NaSr2ZnPd | PBE | relaxed

Computed properties:
- Theoretical density: 3526 kg/m³
- Energy of formation from the pure elements: -247 meV/atom
- Total DFT energy (no corrections): -2.48 eV per atom

Lattice parameters (Å, degrees): 5.887 5.887 5.030 90.00 90.00 90.00
Space group P4/mmm (No. 123)
Asymmetric unit:
Na (0.000, 0.000, 0.000)
Sr (0.000, 0.500, 0.500)
Zn (0.500, 0.500, 0.000)
Pd (0.500, 0.500, 0.500)